A relaxed AcPm12Pr6 crystal. Source: the Alexandria database, functional GGA-PBE.

a = 9.001 Å, b = 9.001 Å, c = 9.001 Å
α = 99.41°, β = 99.41°, γ = 99.41°
Positions (direct):
Ac: 0.000 0.000 0.000
Pm: 0.081 0.356 0.356
Pm: 0.242 0.500 0.758
Pm: 0.242 0.758 0.500
Pm: 0.356 0.081 0.356
Pm: 0.356 0.356 0.081
Pm: 0.500 0.242 0.758
Pm: 0.500 0.758 0.242
Pm: 0.644 0.644 0.919
Pm: 0.644 0.919 0.644
Pm: 0.758 0.242 0.500
Pm: 0.758 0.500 0.242
Pm: 0.919 0.644 0.644
Pr: 0.099 0.099 0.655
Pr: 0.099 0.655 0.099
Pr: 0.345 0.901 0.901
Pr: 0.655 0.099 0.099
Pr: 0.901 0.345 0.901
Pr: 0.901 0.901 0.345

Final energy = -86.2 eV for the cell shown
Total magnetization = 0.0 μB/f.u.
Distance to the lowest polymorph of the same formula = 0.0 meV/atom
DFT formation energy = 0.187 eV/atom
Space group = R-3m, No. 166

***

A relaxed Er3Tm3In crystal. Source: the Alexandria database, functional GGA-PBE.

a = 9.265 Å, b = 9.265 Å, c = 5.465 Å
α = 90.00°, β = 90.00°, γ = 120.00°
Positions (direct):
Er: 0.063 0.243 0.250
Er: 0.179 0.937 0.250
Er: 0.243 0.179 0.750
Er: 0.757 0.821 0.250
Er: 0.821 0.063 0.750
Er: 0.937 0.757 0.750
Tm: 0.105 0.482 0.750
Tm: 0.377 0.895 0.750
Tm: 0.482 0.377 0.250
Tm: 0.518 0.623 0.750
Tm: 0.623 0.105 0.250
Tm: 0.895 0.518 0.250
In: 0.333 0.667 0.250
In: 0.667 0.333 0.750

Final energy = -61.2 eV for the cell shown
Total magnetization = 0.1 μB/f.u.
Distance to the lowest polymorph of the same formula = 0.0 meV/atom
DFT formation energy = -0.108 eV/atom
Space group = P6_3/m, No. 176

***

A relaxed Pm2Nd12Sm5 crystal. Source: the Alexandria database, functional GGA-PBE.

a = 9.585 Å, b = 9.585 Å, c = 8.065 Å
α = 90.99°, β = 90.99°, γ = 65.05°
Positions (direct):
Pm: 0.231 0.769 0.000
Pm: 0.769 0.231 0.000
Nd: 0.038 0.579 0.207
Nd: 0.155 0.155 0.119
Nd: 0.169 0.620 0.611
Nd: 0.380 0.831 0.389
Nd: 0.421 0.962 0.793
Nd: 0.449 0.449 0.290
Nd: 0.551 0.551 0.710
Nd: 0.579 0.038 0.207
Nd: 0.620 0.169 0.611
Nd: 0.831 0.380 0.389
Nd: 0.845 0.845 0.881
Nd: 0.962 0.421 0.793
Sm: 0.000 0.000 0.500
Sm: 0.247 0.247 0.486
Sm: 0.352 0.352 0.919
Sm: 0.648 0.648 0.081
Sm: 0.753 0.753 0.514

Final energy = -88.1 eV for the cell shown
Total magnetization = 0.0 μB/f.u.
Distance to the lowest polymorph of the same formula = 25.8 meV/atom
DFT formation energy = 0.118 eV/atom
Space group = C2/m, No. 12

***

A relaxed AlCd2Tc crystal. Source: the Alexandria database, functional GGA-PBE.

a = 9.775 Å, b = 9.775 Å, c = 9.775 Å
α = 17.45°, β = 17.45°, γ = 17.45°
Positions (direct):
Al: 0.000 0.000 0.000
Cd: 0.517 0.517 0.517
Cd: 0.755 0.755 0.755
Tc: 0.266 0.266 0.266

Final energy = -15.3 eV for the cell shown
Total magnetization = 0.5 μB/f.u.
DFT formation energy = 0.163 eV/atom
Space group = R3m, No. 160

***

Among the records above, which one has the highest total magnetization?
AlCd2Tc